(1)
Compound: Pm2ErTm4Mg
Source: Alexandria
Functional: PBE
Structure: relaxed

Calculated values
The energy of formation from the pure elements comes out at 0.03 eV/atom. The density of states at the Fermi level is 1.51 states/eV/atom. Its crystal system is monoclinic. The calculation puts the total energy at -4.16 eV per atom.

POSCAR file:
```
Pm2ErTm4Mg
1.0
4.940 0.000 0.000
0.000 4.924 0.000
-0.009 0.000 10.024
Pm Er Tm Mg
2 1 4 1
Direct
0.000 0.000 0.000
0.500 0.500 0.500
0.000 0.000 0.500
0.000 0.500 0.250
0.000 0.500 0.750
0.500 0.000 0.250
0.500 0.000 0.750
0.500 0.500 0.000
```



(2)
Compound: Pm2Er2TmMg5
Source: Alexandria
Functional: PBE
Structure: relaxed

Calculated values
The energy of formation from the pure elements comes out at 0.05 eV/atom. The density of states at the Fermi level is 0.67 states/eV/atom. Its crystal system is tetragonal. The calculation puts the total energy at -3.06 eV per atom.

POSCAR file:
```
Pm2Er2TmMg5
1.0
10.571 0.000 0.000
0.000 10.571 0.000
0.000 0.000 5.049
Pm Er Tm Mg
4 4 2 10
Direct
0.177 0.323 0.000
0.323 0.823 0.000
0.677 0.177 0.000
0.823 0.677 0.000
0.119 0.619 0.000
0.381 0.119 0.000
0.619 0.881 0.000
0.881 0.381 0.000
0.000 0.000 0.000
0.500 0.500 0.000
0.000 0.500 0.500
0.069 0.802 0.500
0.198 0.069 0.500
0.302 0.569 0.500
0.431 0.302 0.500
0.500 0.000 0.500
0.569 0.698 0.500
0.698 0.431 0.500
0.802 0.931 0.500
0.931 0.198 0.500
```